Ac3ZnAg2Au6 (PBE, optimized geometry); crystal system = trigonal; E_tot = -44.5 eV per cell
1.0
-2.1056 4.1235 -4.4041
-3.8722 -4.5855 2.1937
-2.7199 5.2871 6.2506
Au Ac Zn Ag
6 3 1 2
direct
0.8195 0.1805 0.7079
0.1805 0.8195 0.2921
0.8195 0.6389 0.7079
0.6389 0.8195 0.2921
0.3611 0.1805 0.7079
0.1805 0.3611 0.2921
0.6667 0.3333 0.3658
0.0000 0.0000 0.0000
0.3333 0.6667 0.6342
0.0000 0.0000 0.5000
0.6667 0.3333 0.9804
0.3333 0.6667 0.0196

=====

KMn2In (PBE, optimized geometry); crystal system = tetragonal; E_tot = -20.2 eV per cell
1.0
-1.1563 -0.6034 2.9087
-1.6657 -2.4531 -1.1711
5.2770 -7.9367 0.4513
In Mn K
1 2 1
direct
0.0000 0.5670 0.4332
0.5000 0.2645 0.2353
0.0000 0.9247 0.0749
0.5000 0.7438 0.7566

=====

Sm2YErSe6 (PBE, optimized geometry); energy relative to the elements, uncorrected = -1849.3 meV per atom; crystal system = trigonal
1.0
-4.9998 0.7731 5.2400
0.8367 -3.4343 6.3686
1.8577 4.2428 6.2097
Se Er Sm Y
6 1 2 1
direct
0.2095 0.9272 0.2565
0.6067 0.2096 0.2565
0.4300 0.7117 0.7545
0.7117 0.1037 0.7546
0.1037 0.4301 0.7546
0.9273 0.6067 0.2565
0.8191 0.8192 0.5425
0.0175 0.0176 0.9474
0.5173 0.5172 0.4483
0.3187 0.3186 0.0439

=====

MnGa4Ni15 (PBE, optimized geometry); crystal system = tetragonal; E_tot = -113.0 eV per cell
1.0
3.5766 0.0000 0.0000
0.0000 3.5766 0.0000
0.0000 0.0000 17.7933
Ni Ga Mn
15 4 1
direct
0.5000 0.0000 0.2986
0.5000 0.0000 0.5000
0.5000 0.0000 0.0984
0.5000 0.5000 0.0000
0.5000 0.0000 0.7014
0.0000 0.5000 0.9016
0.0000 0.5000 0.7014
0.5000 0.5000 0.3990
0.5000 0.5000 0.8019
0.5000 0.5000 0.6010
0.0000 0.5000 0.0984
0.5000 0.5000 0.1981
0.0000 0.5000 0.5000
0.0000 0.5000 0.2986
0.5000 0.0000 0.9016
0.0000 0.0000 0.3997
0.0000 0.0000 0.1995
0.0000 0.0000 0.8005
0.0000 0.0000 0.6003
0.0000 0.0000 0.0000

=====

> Which formula does entry 2 have?

KMn2In

=====

> Which formula does entry 4 have?

MnGa4Ni15